[1]
Below is Cs3H5Pt after structural relaxation, with properties calculated at the GGA-PBE level.

Output
Crystal system ... tetragonal
Magnetic moment ... 0.00 μB per cell
Final energy ... -3.17 eV/atom

Cell: 8.1604 8.1604 6.2239 Å, 90.00 90.00 90.00°
Last column: nearest neighbours and their distance in Å.
Space group P4/mbm (No. 127)
Symmetry-distinct sites (fractional):
Cs  0.0000  0.0000  0.0000 x2  2 H 3.11
Cs  0.1846  0.3154  0.5000 x4  8 H 2.98-3.13
H  0.0000  0.0000  0.5000 x2  6 Cs 2.98-3.11
H  0.1033  0.6033  0.1870 x8  1 Pt 1.67
Pt  0.0000  0.5000  0.0000 x2  4 H 1.67


[2]
Below is CsCuAs2Se after structural relaxation, with properties calculated at the GGA-PBE level.

Output
Raw formation energy ... 1839 meV per atom
Crystal system ... tetragonal
Magnetic moment ... 2.21 μB per cell

Cell: 5.9851 5.9851 5.8810 Å, 90.00 90.00 90.00°
Last column: nearest neighbours and their distance in Å.
Space group P4/mmm (No. 123)
Symmetry-distinct sites (fractional):
Cs  0.0000  0.0000  0.0000 x1  2 Se 2.94, 4 As 2.99
Cu  0.5000  0.5000  0.5000 x1  8 As 4.20, 4 Se 4.23
As  0.0000  0.5000  0.0000 x2  2 Cs 2.99
Se  0.0000  0.0000  0.5000 x1  2 Cs 2.94


[3]
Below is Th3AlTc3 after structural relaxation, with properties calculated at the GGA-PBE level.

Output
Crystal system ... orthorhombic
Magnetic moment ... 0.00 μB per cell
ΔE_f ... -0.21 eV per atom

Cell: 4.1975 10.9922 13.5898 Å, 90.00 90.00 90.00°
Last column: nearest neighbours and their distance in Å.
Space group Cmcm (No. 63)
Symmetry-distinct sites (fractional):
Th  0.0000  0.0231  0.2500 x4  7 Tc 3.10-3.18, 2 Al 3.41
Th  0.0000  0.3042  0.1051 x8  6 Tc 2.90-3.16
Al  0.0000  0.0000  0.0000 x4  4 Tc 2.63
Tc  0.0000  0.2594  0.7500 x4  2 Tc 2.72, 4 Th 2.96
Tc  0.0000  0.4096  0.5909 x8  2 Al 2.63, 1 Tc 2.72, 1 Th 2.90


[4]
Below is Ca2PrSiN after structural relaxation, with properties calculated at the GGA-PBE level.

Output
Raw formation energy ... -787 meV per atom
Crystal system ... tetragonal
Magnetic moment ... 0.00 μB per cell

Cell: 4.7589 4.7589 5.0337 Å, 90.00 90.00 90.00°
Last column: nearest neighbours and their distance in Å.
Space group P4/mmm (No. 123)
Symmetry-distinct sites (fractional):
Ca  0.0000  0.5000  0.0000 x2  2 N 2.38
Pr  0.0000  0.0000  0.5000 x1  2 N 2.52
Si  0.5000  0.5000  0.5000 x1  4 Pr 3.37, 8 Ca 3.46
N  0.0000  0.0000  0.0000 x1  4 Ca 2.38, 2 Pr 2.52


> Look up the magnetic moment of the second one.

2.21 μB per cell


> What is the magnetic moment in the first record?

0.00 μB per cell